Record 1
The following is a DFT calculation (PBE) of a relaxed AcPrHg crystal.

a = 5.4434 Å, b = 5.4434 Å, c = 5.4434 Å
α = 60.00°, β = 60.00°, γ = 60.00°
Last column: nearest neighbours and their distance in Å.
Element x y z (fractional)
Ac1 0.5000 0.5000 0.5000  4 Hg 3.33
Pr1 0.0000 0.0000 0.0000  4 Hg 3.33
Hg1 0.2500 0.2500 0.2500  4 Ac 3.33, 4 Pr 3.33

E_form = -30 kJ/mol of formula units
SG = F-43m
energy relative to the lowest polymorph listed for this composition = 0.1980 eV per atom

Record 2
The following is a DFT calculation (PBE) of a relaxed BaMn2Ir crystal.

a = 4.3983 Å, b = 4.3982 Å, c = 6.3916 Å
α = 69.88°, β = 69.88°, γ = 60.01°
Last column: nearest neighbours and their distance in Å.
Element x y z (fractional)
Ba1 0.5052 0.5052 0.4847  1 Mn 3.19, 1 Ir 3.22
Mn1 0.6865 0.6865 0.9404  3 Ir 2.60, 3 Mn 2.61
Mn2 0.9863 0.9863 0.0412  3 Ir 2.54, 3 Mn 2.61
Ir1 0.3221 0.3221 0.0337  6 Mn 2.54-2.60

E_form = 73 kJ/mol of formula units
SG = R3m

Record 3
The following is a DFT calculation (PBE) of a relaxed Na2TiAsSe4 crystal.

a = 6.5993 Å, b = 6.6020 Å, c = 7.2811 Å
α = 116.99°, β = 116.99°, γ = 90.04°
Last column: nearest neighbours and their distance in Å.
Element x y z (fractional)
Na1 0.4857 0.9856 0.9715  4 Se 2.92
Na2 0.2358 0.2356 0.4715  4 Se 2.94
Se1 0.6551 0.6164 0.7098  1 Ti 2.45, 1 As 2.62
Se2 0.0551 0.0941 0.7101  1 Ti 2.45, 1 As 2.62
Se3 0.3779 0.8165 0.2335  1 Ti 2.45, 1 As 2.61
Se4 0.8559 0.4171 0.2341  1 Ti 2.45, 1 As 2.62
Ti1 0.7360 0.7358 0.4718  4 Se 2.45
As1 0.9857 0.4859 0.9718  4 Se 2.61-2.62

formation energy without anion corrections = -5.735 eV/f.u.
SG = P1

Record 4
The following is a DFT calculation (PBE) of a relaxed La3Pu2As2N4 crystal.

a = 4.3255 Å, b = 4.3255 Å, c = 12.1886 Å
α = 100.22°, β = 100.22°, γ = 90.00°
Last column: nearest neighbours and their distance in Å.
Element x y z (fractional)
La1 0.8271 0.8271 0.6543  5 As 3.01-3.12, 4 N 3.25
La2 0.1729 0.1729 0.3457  5 As 3.01-3.12, 4 N 3.25
La3 0.0000 0.0000 0.0000  8 N 2.73
N1 0.4297 0.9297 0.8594  2 Pu 2.18
N2 0.9297 0.4297 0.8594  2 Pu 2.18
N3 0.5703 0.0703 0.1406  2 Pu 2.18
N4 0.0703 0.5703 0.1406  2 Pu 2.18
Pu1 0.4185 0.4185 0.8371  4 N 2.18
Pu2 0.5815 0.5815 0.1629  4 N 2.18
As1 0.6994 0.6994 0.3988  1 Pu 2.78, 1 La 3.01
As2 0.3006 0.3006 0.6012  1 Pu 2.78, 1 La 3.01

formation energy without anion corrections = -12.837 eV/f.u.
SG = I4/mmm

Record 5
The following is a DFT calculation (PBE) of a relaxed Y3Rh crystal.

a = 3.5150 Å, b = 3.5150 Å, c = 8.6614 Å
α = 90.00°, β = 90.00°, γ = 89.96°
Last column: nearest neighbours and their distance in Å.
Element x y z (fractional)
Y1 0.5000 0.5000 0.1893  4 Rh 2.98, 1 Y 3.28
Y2 0.5000 0.5000 0.8107  4 Rh 2.98, 1 Y 3.28
Y3 0.0000 0.0000 0.5000  12 Y 3.52-3.66
Rh1 0.0000 0.0000 0.0000  8 Y 2.98

E_form = -149 kJ/mol of formula units
SG = P4/mmm

Record 6
The following is a DFT calculation (PBE) of a relaxed NdAl4Ni crystal.

a = 4.1216 Å, b = 6.6618 Å, c = 8.1462 Å
α = 90.00°, β = 104.65°, γ = 90.00°
Last column: nearest neighbours and their distance in Å.
Element x y z (fractional)
Al1 0.8090 0.0539 0.6180  3 Ni 2.41-2.50, 1 Al 2.61
Al2 0.0000 0.5000 0.0000  6 Al 2.93-3.03, 4 Nd 3.20
Al3 0.0000 0.0000 0.0000  6 Al 2.93-3.03, 4 Nd 3.20
Al4 0.5788 0.7500 0.1575  1 Ni 2.32
Al5 0.8090 0.4461 0.6180  3 Ni 2.41-2.50, 1 Al 2.61
Al6 0.1910 0.9461 0.3820  3 Ni 2.41-2.50, 1 Al 2.61
Al7 0.1910 0.5539 0.3820  3 Ni 2.41-2.50, 1 Al 2.61
Al8 0.4212 0.2500 0.8425  1 Ni 2.32
Ni1 0.7257 0.7500 0.4515  7 Al 2.32-2.50
Ni2 0.2743 0.2500 0.5485  7 Al 2.32-2.50
Nd1 0.3856 0.7500 0.7713  13 Al 3.04-3.38, 2 Ni 3.26
Nd2 0.6144 0.2500 0.2287  13 Al 3.04-3.38, 2 Ni 3.26

E_form = -318 kJ/mol of formula units
SG = Cmcm

Going through the records in order, we get final energy values of -3.166 -7.091 -4.357 -8.989 -7.073 -4.803 eV per atom.
Going through the records in order, we get mass density values of 8.28 7.43 3.31 8.35 5.74 4.77 g/cm3.